1.
InP2Rh GGA-PBE optimized geometry; energy of formation = -9 kJ/mol of formula units; space-group type = P4/mmm (123)
1.0
-0.6060 0.8509 -2.9744
2.3059 -1.8965 -1.0123
-4.6596 -5.3546 -0.5823
In Rh P
1 1 2
Direct
0.5000 0.5000 0.7500 In
0.5000 0.5000 0.2500 Rh
0.0000 0.0000 0.0761 P
0.0000 0.0000 0.4239 P



2.
InP2Rh GGA-PBE optimized geometry; energy of formation = -62 kJ/mol of formula units; space-group type = R-3m (166)
1.0
-4.0986 -3.5074 3.7098
-1.1087 -2.8682 5.7799
-3.6874 -0.2525 5.4039
P In Rh
2 1 1
Direct
0.9782 0.9782 0.9782 P
0.5218 0.5218 0.5218 P
0.7500 0.7500 0.7500 In
0.2500 0.2500 0.2500 Rh



3.
InP2Rh GGA-PBE optimized geometry; energy of formation = -2 kJ/mol of formula units; space-group type = P4mm (99)
1.0
3.4852 0.0000 0.0000
0.0000 3.4852 0.0000
0.0000 0.0000 6.2270
P Rh In
2 1 1
Direct
0.5000 0.5000 0.3915 P
0.0000 0.0000 0.9713 P
0.0000 0.0000 0.3329 Rh
0.5000 0.5000 0.8044 In



4.
InPRh GGA-PBE optimized geometry; energy of formation = -53 kJ/mol of formula units; space-group type = I4mm (107)
1.0
-1.5118 1.5118 5.7397
1.5118 -1.5118 5.7397
1.5118 1.5118 -5.7397
Rh P In
1 1 1
Direct
0.3048 0.3048 0.0000 Rh
0.7018 0.7018 0.0000 P
0.9934 0.9934 0.0000 In



5.
InPRh GGA-PBE optimized geometry; energy of formation = -43 kJ/mol of formula units; space-group type = F-43m (216)
1.0
0.0000 3.0354 3.0354
3.0354 0.0000 3.0354
3.0354 3.0354 0.0000
P Rh In
1 1 1
Direct
0.5000 0.5000 0.5000 P
0.2500 0.2500 0.2500 Rh
0.0000 0.0000 0.0000 In



6.
In4PRh GGA-PBE optimized geometry; energy of formation = 392 kJ/mol of formula units; space-group type = F-43m (216)
1.0
0.0000 4.1096 4.1096
4.1096 0.0000 4.1096
4.1096 4.1096 0.0000
In P Rh
4 1 1
Direct
0.3749 0.3749 0.3749 In
0.3749 0.3749 0.8754 In
0.8754 0.3749 0.3749 In
0.3749 0.8754 0.3749 In
0.7500 0.7500 0.7500 P
0.0000 0.0000 0.0000 Rh



7.
InP2Rh GGA-PBE optimized geometry; energy of formation = 113 kJ/mol of formula units; space-group type = P4/mmm (123)
1.0
-4.1210 -0.4090 2.1041
-0.3971 -3.4929 -1.4566
1.7105 -1.4721 3.0639
In P Rh
1 2 1
Direct
0.5000 0.0000 0.5000 In
0.0000 0.0000 0.0000 P
0.0000 0.5000 0.5000 P
0.5000 0.5000 0.0000 Rh



8.
InP2Rh GGA-PBE optimized geometry; energy of formation = -86 kJ/mol of formula units; space-group type = P2/m (10)
1.0
3.8297 0.0000 0.0000
0.0000 4.3559 -0.0260
0.0000 1.4490 4.5540
In Rh P
1 1 2
Direct
0.5000 0.7500 0.7500 In
0.5000 0.2500 0.2500 Rh
0.0000 0.0038 0.1214 P
0.0000 0.4962 0.3786 P